Entry 1:
# NbTeAs2Se PBE relaxed
# **Size of the total moment**: 0.000 μB/atom
# **Calculated density**: 5.446 Mg/m³
# **E_form (uncorrected)**: 1.3887 eV/atom
# **E**: -19.052 eV per cell
data_NbTeAs2Se
_cell_length_a 5.157
_cell_length_b 5.157
_cell_length_c 5.151
_cell_angle_alpha 90.00
_cell_angle_beta 90.00
_cell_angle_gamma 90.00
_symmetry_space_group_name_H-M 'P 4/m m m'
_symmetry_Int_Tables_number 123
_symmetry_space_group_name_Hall '-P 4 2'
loop_
_atom_site_label
_atom_site_type_symbol
_atom_site_fract_x
_atom_site_fract_y
_atom_site_fract_z
Nb1 Nb 0.000 0.000 0.000
Te1 Te 0.500 0.500 0.500
As1 As 0.000 0.500 0.500
Se1 Se 0.500 0.500 0.000

Entry 2:
# NbTeAs2Se PBE relaxed
# **Size of the total moment**: 0.000 μB/atom
# **Calculated density**: 5.811 Mg/m³
# **E_form (uncorrected)**: 0.2501 eV/atom
# **E**: -24.744 eV per cell
data_NbTeAs2Se
_cell_length_a 5.137
_cell_length_b 5.137
_cell_length_c 4.866
_cell_angle_alpha 90.00
_cell_angle_beta 90.00
_cell_angle_gamma 90.00
_symmetry_space_group_name_H-M 'P 4/m m m'
_symmetry_Int_Tables_number 123
_symmetry_space_group_name_Hall '-P 4 2'
loop_
_atom_site_label
_atom_site_type_symbol
_atom_site_fract_x
_atom_site_fract_y
_atom_site_fract_z
Nb1 Nb 0.000 0.000 0.000
Te1 Te 0.500 0.500 0.500
As1 As 0.000 0.500 0.000
Se1 Se 0.000 0.000 0.500

Entry 3:
# TiNbAsSe2 PBE relaxed
# **Size of the total moment**: 0.454 μB/atom
# **Calculated density**: 5.413 Mg/m³
# **E_form (uncorrected)**: 0.2302 eV/atom
# **E**: -28.432 eV per cell
data_TiNbAsSe2
_cell_length_a 4.842
_cell_length_b 4.842
_cell_length_c 4.889
_cell_angle_alpha 90.00
_cell_angle_beta 90.00
_cell_angle_gamma 90.00
_symmetry_space_group_name_H-M 'P 4/m m m'
_symmetry_Int_Tables_number 123
_symmetry_space_group_name_Hall '-P 4 2'
loop_
_atom_site_label
_atom_site_type_symbol
_atom_site_fract_x
_atom_site_fract_y
_atom_site_fract_z
Ti1 Ti 0.000 0.000 0.000
Nb1 Nb 0.500 0.500 0.500
As1 As 0.000 0.000 0.500
Se1 Se 0.000 0.500 0.000

Entry 4:
# TiNbAs2Se PBE relaxed
# **Size of the total moment**: 0.446 μB/atom
# **Calculated density**: 5.430 Mg/m³
# **E_form (uncorrected)**: 0.3715 eV/atom
# **E**: -28.891 eV per cell
data_TiNbAs2Se
_cell_length_a 4.824
_cell_length_b 4.824
_cell_length_c 4.857
_cell_angle_alpha 90.00
_cell_angle_beta 90.00
_cell_angle_gamma 90.00
_symmetry_space_group_name_H-M 'P 4/m m m'
_symmetry_Int_Tables_number 123
_symmetry_space_group_name_Hall '-P 4 2'
loop_
_atom_site_label
_atom_site_type_symbol
_atom_site_fract_x
_atom_site_fract_y
_atom_site_fract_z
Ti1 Ti 0.000 0.000 0.000
Nb1 Nb 0.500 0.500 0.500
As1 As 0.000 0.500 0.000
Se1 Se 0.000 0.000 0.500

Entry 5:
# NbTlAsSe2 PBE relaxed
# **Size of the total moment**: 0.005 μB/atom
# **Calculated density**: 6.277 Mg/m³
# **E_form (uncorrected)**: 1.3651 eV/atom
# **E**: -17.229 eV per cell
data_NbTlAsSe2
_cell_length_a 5.223
_cell_length_b 5.223
_cell_length_c 5.141
_cell_angle_alpha 90.00
_cell_angle_beta 90.00
_cell_angle_gamma 90.00
_symmetry_space_group_name_H-M 'P 4/m m m'
_symmetry_Int_Tables_number 123
_symmetry_space_group_name_Hall '-P 4 2'
loop_
_atom_site_label
_atom_site_type_symbol
_atom_site_fract_x
_atom_site_fract_y
_atom_site_fract_z
Nb1 Nb 0.000 0.000 0.000
Tl1 Tl 0.500 0.500 0.500
As1 As 0.500 0.500 0.000
Se1 Se 0.000 0.500 0.500

Entry 6:
# NbTlAsSe2 PBE relaxed
# **Size of the total moment**: 0.000 μB/atom
# **Calculated density**: 6.595 Mg/m³
# **E_form (uncorrected)**: -0.2303 eV/atom
# **E**: -25.206 eV per cell
data_NbTlAsSe2
_cell_length_a 5.108
_cell_length_b 5.108
_cell_length_c 5.115
_cell_angle_alpha 90.00
_cell_angle_beta 90.00
_cell_angle_gamma 90.00
_symmetry_space_group_name_H-M 'P 4/m m m'
_symmetry_Int_Tables_number 123
_symmetry_space_group_name_Hall '-P 4 2'
loop_
_atom_site_label
_atom_site_type_symbol
_atom_site_fract_x
_atom_site_fract_y
_atom_site_fract_z
Nb1 Nb 0.000 0.000 0.000
Tl1 Tl 0.500 0.500 0.500
As1 As 0.000 0.000 0.500
Se1 Se 0.000 0.500 0.000

Entry 7:
# NbTlAs2Se PBE relaxed
# **Size of the total moment**: 0.000 μB/atom
# **Calculated density**: 6.350 Mg/m³
# **E_form (uncorrected)**: 1.5002 eV/atom
# **E**: -17.719 eV per cell
data_NbTlAs2Se
_cell_length_a 5.122
_cell_length_b 5.122
_cell_length_c 5.244
_cell_angle_alpha 90.00
_cell_angle_beta 90.00
_cell_angle_gamma 90.00
_symmetry_space_group_name_H-M 'P 4/m m m'
_symmetry_Int_Tables_number 123
_symmetry_space_group_name_Hall '-P 4 2'
loop_
_atom_site_label
_atom_site_type_symbol
_atom_site_fract_x
_atom_site_fract_y
_atom_site_fract_z
Nb1 Nb 0.000 0.000 0.000
Tl1 Tl 0.500 0.500 0.500
As1 As 0.000 0.500 0.500
Se1 Se 0.500 0.500 0.000

Entry 8:
# NbTlAs2Se PBE relaxed
# **Size of the total moment**: 0.000 μB/atom
# **Calculated density**: 6.607 Mg/m³
# **E_form (uncorrected)**: -0.0405 eV/atom
# **E**: -25.422 eV per cell
data_NbTlAs2Se
_cell_length_a 5.100
_cell_length_b 5.100
_cell_length_c 5.083
_cell_angle_alpha 90.00
_cell_angle_beta 90.00
_cell_angle_gamma 90.00
_symmetry_space_group_name_H-M 'P 4/m m m'
_symmetry_Int_Tables_number 123
_symmetry_space_group_name_Hall '-P 4 2'
loop_
_atom_site_label
_atom_site_type_symbol
_atom_site_fract_x
_atom_site_fract_y
_atom_site_fract_z
Nb1 Nb 0.000 0.000 0.000
Tl1 Tl 0.500 0.500 0.500
As1 As 0.000 0.500 0.000
Se1 Se 0.000 0.000 0.500

Entry 9:
# NbVAs2Se PBE relaxed
# **Size of the total moment**: 0.569 μB/atom
# **Calculated density**: 5.830 Mg/m³
# **E_form (uncorrected)**: 0.5179 eV/atom
# **E**: -29.383 eV per cell
data_NbVAs2Se
_cell_length_a 4.694
_cell_length_b 4.694
_cell_length_c 4.817
_cell_angle_alpha 90.00
_cell_angle_beta 90.00
_cell_angle_gamma 90.00
_symmetry_space_group_name_H-M 'P 4/m m m'
_symmetry_Int_Tables_number 123
_symmetry_space_group_name_Hall '-P 4 2'
loop_
_atom_site_label
_atom_site_type_symbol
_atom_site_fract_x
_atom_site_fract_y
_atom_site_fract_z
Nb1 Nb 0.000 0.000 0.000
V1 V 0.500 0.500 0.500
As1 As 0.000 0.500 0.500
Se1 Se 0.500 0.500 0.000

Entry 10:
# NbVAs2Se PBE relaxed
# **Size of the total moment**: 0.039 μB/atom
# **Calculated density**: 5.004 Mg/m³
# **E_form (uncorrected)**: 0.7635 eV/atom
# **E**: -28.155 eV per cell
data_NbVAs2Se
_cell_length_a 4.986
_cell_length_b 4.986
_cell_length_c 4.974
_cell_angle_alpha 90.00
_cell_angle_beta 90.00
_cell_angle_gamma 90.00
_symmetry_space_group_name_H-M 'P 4/m m m'
_symmetry_Int_Tables_number 123
_symmetry_space_group_name_Hall '-P 4 2'
loop_
_atom_site_label
_atom_site_type_symbol
_atom_site_fract_x
_atom_site_fract_y
_atom_site_fract_z
Nb1 Nb 0.000 0.000 0.000
V1 V 0.500 0.500 0.500
As1 As 0.000 0.500 0.000
Se1 Se 0.000 0.000 0.500

Entry 11:
# NbAsWSe2 PBE relaxed
# **Size of the total moment**: 0.657 μB/atom
# **Calculated density**: 7.193 Mg/m³
# **E_form (uncorrected)**: 0.8333 eV/atom
# **E**: -30.475 eV per cell
data_NbAsWSe2
_cell_length_a 4.901
_cell_length_b 4.901
_cell_length_c 4.897
_cell_angle_alpha 90.00
_cell_angle_beta 90.00
_cell_angle_gamma 90.00
_symmetry_space_group_name_H-M 'P 4/m m m'
_symmetry_Int_Tables_number 123
_symmetry_space_group_name_Hall '-P 4 2'
loop_
_atom_site_label
_atom_site_type_symbol
_atom_site_fract_x
_atom_site_fract_y
_atom_site_fract_z
Nb1 Nb 0.000 0.000 0.000
As1 As 0.500 0.500 0.000
W1 W 0.500 0.500 0.500
Se1 Se 0.000 0.500 0.500

Entry 12:
# YNbAsSe2 PBE relaxed
# **Size of the total moment**: 0.450 μB/atom
# **Calculated density**: 4.548 Mg/m³
# **E_form (uncorrected)**: 0.4075 eV/atom
# **E**: -26.115 eV per cell
data_YNbAsSe2
_cell_length_a 5.323
_cell_length_b 5.323
_cell_length_c 5.343
_cell_angle_alpha 90.00
_cell_angle_beta 90.00
_cell_angle_gamma 90.00
_symmetry_space_group_name_H-M 'P 4/m m m'
_symmetry_Int_Tables_number 123
_symmetry_space_group_name_Hall '-P 4 2'
loop_
_atom_site_label
_atom_site_type_symbol
_atom_site_fract_x
_atom_site_fract_y
_atom_site_fract_z
Y1 Y 0.000 0.000 0.000
Nb1 Nb 0.500 0.500 0.500
As1 As 0.000 0.000 0.500
Se1 Se 0.000 0.500 0.000

Entry 13:
# YNbAsSe2 PBE relaxed
# **Size of the total moment**: 0.000 μB/atom
# **Calculated density**: 5.461 Mg/m³
# **E_form (uncorrected)**: -0.4795 eV/atom
# **E**: -30.550 eV per cell
data_YNbAsSe2
_cell_length_a 4.989
_cell_length_b 4.989
_cell_length_c 5.065
_cell_angle_alpha 90.00
_cell_angle_beta 90.00
_cell_angle_gamma 90.00
_symmetry_space_group_name_H-M 'P 4/m m m'
_symmetry_Int_Tables_number 123
_symmetry_space_group_name_Hall '-P 4 2'
loop_
_atom_site_label
_atom_site_type_symbol
_atom_site_fract_x
_atom_site_fract_y
_atom_site_fract_z
Y1 Y 0.000 0.000 0.000
Nb1 Nb 0.500 0.500 0.500
As1 As 0.500 0.500 0.000
Se1 Se 0.000 0.500 0.500